Compound: Ba3LiHg
Source: the Alexandria database
Functional: GGA-PBE
Structure: optimized geometry

```
10
Lattice="-5.962 -0.591 0.891 0.828 -5.728 1.737 -1.652 3.326 11.752" Properties=species:S:1:pos:R:3 pbc="T T T"
Ba -4.510 -1.383 2.843
Ba -3.573 1.169 10.810
Ba -4.042 -0.110 6.817
Ba -1.116 -3.955 3.257
Ba -6.142 -1.994 12.114
Ba -0.646 -2.675 7.250
Li -3.387 -2.313 9.751
Li -1.304 -0.473 4.316
Hg -3.874 -3.642 5.601
Hg -6.778 0.265 9.357
```

Values from the calculation:
excess energy over the best structure of this formula in the dataset	0	kJ/mol of formula units
raw total energy	-0.1313	Ry/atom
E_form	-18.3	kJ/mol of atoms


Compound: BaLi3Hg
Source: the Alexandria database
Functional: GGA-PBE
Structure: optimized geometry

```
10
Lattice="-3.987 -4.447 -1.837 5.204 -2.968 -4.109 -0.825 -2.112 6.902" Properties=species:S:1:pos:R:3 pbc="T T T"
Ba 0.205 -6.018 -1.816
Ba 0.187 -3.509 2.772
Li -0.365 -6.942 1.657
Li 2.732 -4.875 0.560
Li 0.757 -2.584 -0.700
Li -2.340 -4.652 0.396
Li 3.104 -3.922 -2.553
Li -2.712 -5.605 3.509
Hg 0.000 0.000 0.000
Hg -1.993 -2.223 -0.919
```

Values from the calculation:
excess energy over the best structure of this formula in the dataset	39	kJ/mol of formula units
raw total energy	-0.1245	Ry/atom
E_form	-9.8	kJ/mol of atoms


Compound: BaLi3Hg2
Source: the Alexandria database
Functional: GGA-PBE
Structure: optimized geometry

```
18
Lattice="-2.180 0.253 -4.155 9.323 2.217 -4.756 -3.185 -10.159 1.053" Properties=species:S:1:pos:R:3 pbc="T T T"
Ba -1.090 0.126 -2.078
Ba 5.154 -1.908 -2.820
Ba 0.984 -6.034 -0.884
Li 1.979 -3.844 -3.929
Li -2.683 -4.953 -1.551
Li 3.572 1.235 -4.456
Li 4.324 -5.595 -2.609
Li -0.941 -3.003 0.311
Li 2.755 0.655 -1.406
Li 1.814 -2.347 -1.095
Li -2.244 -7.156 0.742
Li 6.568 1.562 -3.351
Hg 5.857 -0.008 -5.730
Hg 1.848 -0.961 -3.685
Hg 4.487 -4.376 -5.277
Hg -1.899 -7.681 -2.129
Hg 2.110 -6.728 -4.174
Hg -0.529 -3.313 -2.581
```

Values from the calculation:
excess energy over the best structure of this formula in the dataset	0	kJ/mol of formula units
raw total energy	-0.1257	Ry/atom
E_form	-32.1	kJ/mol of atoms


Compound: BaLi9Hg3
Source: the Alexandria database
Functional: GGA-PBE
Structure: optimized geometry

```
13
Lattice="-5.463 -0.826 -1.907 -4.478 -3.650 4.852 -4.683 5.821 1.934" Properties=species:S:1:pos:R:3 pbc="T T T"
Ba 0.000 0.000 0.000
Li -11.013 1.042 3.808
Li -3.611 0.302 1.071
Li -7.374 3.184 1.644
Li -7.250 -1.840 3.235
Li -6.674 0.306 1.201
Li -7.951 1.039 3.678
Li -4.675 -0.285 3.827
Li -9.949 1.630 1.052
Li -2.239 -1.825 2.426
Hg -4.971 -2.238 1.473
Hg -2.341 2.910 0.967
Hg -5.073 2.497 0.014
```

Values from the calculation:
raw total energy	-0.1286	Ry/atom
E_form	-20.0	kJ/mol of atoms


Compound: BaLi9Hg2
Source: the Alexandria database
Functional: GGA-PBE
Structure: optimized geometry

```
24
Lattice="-2.767 -5.081 -5.065 3.951 -8.347 0.378 -7.132 -5.006 3.082" Properties=species:S:1:pos:R:3 pbc="T T T"
Ba -1.384 -2.540 -2.532
Ba -2.282 -7.947 0.464
Li -3.666 -10.487 -2.068
Li 0.000 0.000 0.000
Li -1.221 -11.197 2.297
Li -3.745 -5.434 -2.105
Li -5.364 -7.877 -1.689
Li -0.986 -11.295 -0.651
Li -2.855 -13.478 -1.581
Li -2.691 -4.218 0.712
Li 1.168 -9.607 1.092
Li -5.330 -5.549 0.572
Li -5.625 -12.643 -0.905
Li 0.079 -5.053 0.037
Li -5.434 -7.617 2.703
Li 1.271 -7.539 -1.039
Li -3.992 -10.362 2.973
Li -0.975 -6.269 -2.781
Li -0.883 -9.227 -2.782
Li -5.467 -9.945 0.442
Hg -6.782 -10.287 -2.025
Hg -1.241 -11.957 -3.377
Hg -3.216 -7.784 -3.567
Hg -3.423 -11.920 0.696
```

Values from the calculation:
raw total energy	-0.1340	Ry/atom
E_form	-17.1	kJ/mol of atoms


Compound: Ba2Li3Hg5
Source: the Alexandria database
Functional: GGA-PBE
Structure: optimized geometry

```
20
Lattice="6.686 0.000 2.228 2.673 8.700 3.124 0.513 -0.205 9.607" Properties=species:S:1:pos:R:3 pbc="T T T"
Ba 2.549 5.181 3.497
Ba 4.898 1.085 7.593
Ba 7.323 3.314 11.463
Ba 4.974 7.410 7.366
Li 4.256 4.559 9.521
Li 8.008 6.245 9.408
Li 5.617 3.936 5.439
Li 1.864 2.250 5.552
Li 1.672 0.000 0.557
Li 5.015 0.000 1.671
Hg 3.850 2.103 10.740
Hg 8.653 8.122 7.472
Hg 6.023 6.392 4.220
Hg 1.219 0.373 7.487
Hg 5.652 6.567 10.904
Hg 4.220 1.928 4.055
Hg 6.608 4.248 8.037
Hg 3.265 4.248 6.923
Hg 0.877 1.928 2.941
Hg 8.995 6.567 12.019
```

Values from the calculation:
raw total energy	-0.1103	Ry/atom
E_form	-37.8	kJ/mol of atoms


Compound: Ba4LiHg2
Source: the Alexandria database
Functional: GGA-PBE
Structure: optimized geometry

```
7
Lattice="-5.053 -4.597 -2.526 5.607 -3.723 2.783 -2.810 4.159 5.277" Properties=species:S:1:pos:R:3 pbc="T T T"
Ba -2.527 -2.298 -1.263
Ba -1.128 -2.081 2.767
Ba -1.405 2.079 2.639
Ba 2.803 -1.862 1.392
Li 0.000 0.000 0.000
Hg 0.277 -4.160 0.129
Hg -3.932 -0.219 1.376
```

Values from the calculation:
raw total energy	-0.1260	Ry/atom
E_form	-24.7	kJ/mol of atoms


Compound: Ba4Li2Hg
Source: the Alexandria database
Functional: GGA-PBE
Structure: optimized geometry

```
7
Lattice="6.971 0.011 -2.447 -3.472 6.026 -2.495 0.006 -0.011 7.388" Properties=species:S:1:pos:R:3 pbc="T T T"
Ba 3.486 0.005 -1.223
Ba 1.753 3.013 1.223
Ba 0.003 -0.005 3.694
Ba -1.736 3.013 -1.247
Li 1.750 3.018 -2.471
Li 3.489 0.000 2.471
Hg 0.000 0.000 0.000
```

Values from the calculation:
excess energy over the best structure of this formula in the dataset	0	kJ/mol of formula units
raw total energy	-0.1296	Ry/atom
E_form	-7.2	kJ/mol of atoms


Compound: BaLiHg
Source: the Alexandria database
Functional: GGA-PBE
Structure: optimized geometry

```
3
Lattice="-1.953 4.484 2.769 -5.519 0.560 0.904 -2.071 -0.586 5.192" Properties=species:S:1:pos:R:3 pbc="T T T"
Ba -7.157 3.344 6.648
Hg 0.000 0.000 0.000
Li -4.771 2.229 4.432
```

Values from the calculation:
excess energy over the best structure of this formula in the dataset	122	kJ/mol of formula units
raw total energy	-0.0958	Ry/atom
E_form	7.4	kJ/mol of atoms


Compound: Ba3Li7Hg4
Source: the Alexandria database
Functional: GGA-PBE
Structure: optimized geometry

```
14
Lattice="-1.014 4.850 -0.742 -9.071 0.906 1.411 -1.584 3.557 8.504" Properties=species:S:1:pos:R:3 pbc="T T T"
Ba -2.459 2.332 1.686
Ba -9.211 6.982 7.488
Ba -5.328 2.232 4.958
Li -8.900 4.138 5.386
Li -3.664 5.412 6.552
Li -5.560 7.760 7.575
Li -2.770 5.176 3.787
Li -6.110 1.554 1.598
Li 0.000 0.000 0.000
Li -8.005 3.902 2.621
Hg -5.358 4.331 1.803
Hg -6.312 4.983 7.371
Hg -9.599 6.268 3.349
Hg -2.070 3.046 5.825
```

Values from the calculation:
raw total energy	-0.1282	Ry/atom
E_form	-27.9	kJ/mol of atoms


Compound: BaLiHg
Source: the Alexandria database
Functional: GGA-PBE
Structure: optimized geometry

```
6
Lattice="-3.926 0.507 2.326 -1.213 -4.287 -1.112 4.209 -3.215 7.804" Properties=species:S:1:pos:R:3 pbc="T T T"
Ba -1.771 -5.196 5.523
Ba -0.622 -2.218 2.277
Li 0.233 -4.113 8.663
Li 1.590 -6.512 6.942
Hg -3.784 -3.653 1.782
Hg 1.394 -3.760 6.018
```

Values from the calculation:
excess energy over the best structure of this formula in the dataset	0	kJ/mol of formula units
raw total energy	-0.1268	Ry/atom
E_form	-33.4	kJ/mol of atoms


Compound: Ba3Li4Hg4
Source: the Alexandria database
Functional: GGA-PBE
Structure: optimized geometry

```
11
Lattice="-5.017 -2.538 -4.928 4.320 -5.654 2.295 -3.553 2.964 5.872" Properties=species:S:1:pos:R:3 pbc="T T T"
Ba -0.349 -4.096 -1.316
Ba -4.285 0.213 0.472
Ba 0.383 -1.345 4.084
Li 1.039 -1.360 0.552
Li -0.855 0.713 1.413
Li -1.207 -0.611 -1.186
Li -3.228 -3.970 2.460
Hg 2.612 -3.419 1.388
Hg -3.034 -1.535 -2.980
Hg -2.149 1.792 3.551
Hg -1.681 -2.067 1.281
```

Values from the calculation:
raw total energy	-0.1243	Ry/atom
E_form	-34.9	kJ/mol of atoms


Compound: Ba5Li4Hg
Source: the Alexandria database
Functional: GGA-PBE
Structure: optimized geometry

```
10
Lattice="4.349 0.000 0.000 0.000 4.349 0.000 0.000 0.000 21.921" Properties=species:S:1:pos:R:3 pbc="T T T"
Ba 2.174 2.174 1.974
Ba 2.174 2.174 6.526
Ba 2.174 2.174 10.961
Ba 2.174 2.174 15.396
Ba 2.174 2.174 19.948
Li 0.000 0.000 4.269
Li 0.000 0.000 8.727
Li 0.000 0.000 13.194
Li 0.000 0.000 17.652
Hg 0.000 0.000 0.000
```

Values from the calculation:
raw total energy	-0.1345	Ry/atom
E_form	-7.1	kJ/mol of atoms


Compound: Ba2Li4Hg
Source: the Alexandria database
Functional: GGA-PBE
Structure: optimized geometry

```
7
Lattice="-3.858 -1.439 -3.257 -1.207 -3.989 3.192 -8.292 2.607 4.440" Properties=species:S:1:pos:R:3 pbc="T T T"
Li -6.716 -3.902 1.218
Li -6.641 1.081 3.158
Li -0.603 -1.995 1.596
Li -1.929 -0.719 -1.628
Hg 0.000 0.000 0.000
Ba -9.117 -1.685 3.082
Ba -4.240 -1.136 1.294
```

Values from the calculation:
raw total energy	-0.1257	Ry/atom
E_form	-2.3	kJ/mol of atoms


Compound: Ba2LiHg4
Source: the Alexandria database
Functional: GGA-PBE
Structure: optimized geometry

```
7
Lattice="5.201 0.000 0.000 0.000 5.201 0.000 2.600 2.600 8.699" Properties=species:S:1:pos:R:3 pbc="T T T"
Li 0.000 0.000 0.000
Hg 5.201 5.201 2.734
Hg 2.600 2.600 5.965
Hg 0.000 2.600 0.000
Hg 2.600 0.000 0.000
Ba 5.201 5.201 6.271
Ba 2.600 2.600 2.428
```

Values from the calculation:
raw total energy	-0.1013	Ry/atom
E_form	-36.9	kJ/mol of atoms


Compound: Ba3Li4Hg2
Source: the Alexandria database
Functional: GGA-PBE
Structure: optimized geometry

```
9
Lattice="-1.315 3.104 3.978 0.140 -3.224 5.979 8.772 1.420 5.207" Properties=species:S:1:pos:R:3 pbc="T T T"
Ba 5.412 -0.312 8.866
Ba 0.000 0.000 0.000
Ba 2.186 1.612 6.299
Li 0.231 -0.215 3.661
Li 7.366 1.516 11.503
Li 5.511 0.083 5.173
Li 2.086 1.217 9.991
Hg 1.981 -1.310 8.511
Hg 5.616 2.610 6.654
```

Values from the calculation:
excess energy over the best structure of this formula in the dataset	3	kJ/mol of formula units
raw total energy	-0.1293	Ry/atom
E_form	-19.4	kJ/mol of atoms


Compound: Ba5Li4Hg4
Source: the Alexandria database
Functional: GGA-PBE
Structure: optimized geometry

```
13
Lattice="4.962 0.000 1.261 2.481 9.256 0.631 0.200 0.000 9.601" Properties=species:S:1:pos:R:3 pbc="T T T"
Ba 5.941 8.625 7.797
Ba 1.701 0.631 3.696
Ba 0.000 0.000 0.000
Ba 4.806 6.093 1.873
Ba 2.836 3.163 9.621
Li 5.953 5.016 7.751
Li 3.726 3.211 6.123
Li 1.690 4.240 3.742
Li 3.917 6.045 5.371
Hg 4.421 2.967 3.386
Hg 3.221 6.289 8.107
Hg 6.711 7.063 4.767
Hg 0.931 2.193 6.726
```

Values from the calculation:
raw total energy	-0.1272	Ry/atom
E_form	-29.8	kJ/mol of atoms


Compound: Ba8Li2Hg
Source: the Alexandria database
Functional: GGA-PBE
Structure: optimized geometry

```
11
Lattice="6.249 0.000 0.000 0.000 8.453 0.142 -3.125 -3.449 10.365" Properties=species:S:1:pos:R:3 pbc="T T T"
Ba 0.000 1.998 8.576
Ba 3.125 7.116 3.427
Ba 3.125 3.784 6.240
Ba 3.125 -1.543 9.848
Ba 0.000 1.221 4.268
Ba 0.000 -2.112 7.080
Ba 3.125 3.006 1.931
Ba 0.000 6.547 0.659
Li 3.125 0.201 6.635
Li 0.000 4.803 3.872
Hg 3.125 0.000 0.000
```

Values from the calculation:
excess energy over the best structure of this formula in the dataset	0	kJ/mol of formula units
raw total energy	-0.1346	Ry/atom
E_form	-5.6	kJ/mol of atoms


Compound: BaLiHg6
Source: the Alexandria database
Functional: GGA-PBE
Structure: optimized geometry

```
8
Lattice="5.097 0.000 1.560 2.310 4.544 1.560 -0.061 -0.037 9.305" Properties=species:S:1:pos:R:3 pbc="T T T"
Ba 3.673 2.253 6.213
Li 0.000 0.000 0.000
Hg 4.733 2.904 2.748
Hg 0.734 0.450 6.707
Hg 6.611 4.056 5.719
Hg 2.612 1.602 9.678
Hg 1.781 1.093 3.286
Hg 5.564 3.413 9.139
```

Values from the calculation:
raw total energy	-0.0734	Ry/atom
E_form	-28.3	kJ/mol of atoms


Compound: Ba2Li3Hg4
Source: the Alexandria database
Functional: GGA-PBE
Structure: optimized geometry

```
18
Lattice="6.257 0.000 -2.451 0.000 8.577 0.000 0.054 0.000 9.349" Properties=species:S:1:pos:R:3 pbc="T T T"
Ba 0.750 5.039 1.914
Ba 5.561 3.538 4.984
Ba 2.433 0.750 6.210
Ba 3.878 7.827 0.688
Li 0.000 0.000 0.000
Li 3.129 4.289 -1.226
Li 3.384 6.433 4.032
Li 6.056 2.144 1.640
Li 2.927 2.144 2.866
Li 0.255 6.433 5.258
Hg 4.437 6.433 6.721
Hg 5.002 2.144 -1.049
Hg 1.874 2.144 0.177
Hg 1.309 6.433 7.947
Hg 1.187 8.382 3.029
Hg 5.124 0.195 3.868
Hg 1.996 4.093 5.094
Hg 4.315 4.484 1.804
```

Values from the calculation:
raw total energy	-0.1158	Ry/atom
E_form	-36.3	kJ/mol of atoms